InCoWAu, optimized geometry, DFT PBE; offset from the most stable computed form = 0.098 eV per atom
1.0
6.3828 0.0000 0.0000
0.0000 6.3828 0.0000
0.0000 0.0000 6.3828
In Co W Au
4 4 4 4
direct
0.0000 0.0000 0.0000
0.0000 0.5000 0.5000
0.5000 0.0000 0.5000
0.5000 0.5000 0.0000
0.2500 0.2500 0.2500
0.2500 0.7500 0.7500
0.7500 0.2500 0.7500
0.7500 0.7500 0.2500
0.2500 0.2500 0.7500
0.2500 0.7500 0.2500
0.7500 0.2500 0.2500
0.7500 0.7500 0.7500
0.0000 0.0000 0.5000
0.0000 0.5000 0.0000
0.5000 0.0000 0.0000
0.5000 0.5000 0.5000